Material: Ho5Er6Sc
Method: DFT, PBE
State: relaxed

The calculation puts the energy at -56.2 eV/f.u. For the density, the calculation gives 8.59 g cm⁻³. For the density of states at the Fermi level, the calculation gives 32.39 states/eV/cell. As for the crystal system: monoclinic. For the formation energy, the calculation gives 29 meV per atom.

The space group is C2/m (No. 12) and the conventional cell measures 11.025, 14.871 and 4.933 Å, with angles of 90.00, 116.49 and 90.00 degrees. Symmetry generates all atoms from Ho at (0.000, 0.000, 0.000), Ho at (0.000, 0.166, 0.500), Ho at (0.000, 0.335, 0.000), Er at (0.246, 0.500, 0.247), Er at (0.248, 0.334, 0.748) and Sc at (0.000, 0.500, 0.500).

Material: Cs3Tl4Hg2
Method: DFT, PBE
State: relaxed

The calculation puts the energy at -13.7 eV/f.u. For the density, the calculation gives 7.05 g cm⁻³. For the density of states at the Fermi level, the calculation gives 12.48 states/eV/cell. As for the crystal system: monoclinic. For the formation energy, the calculation gives -123 meV per atom.

The space group is C2/m (No. 12) and the conventional cell measures 14.306, 5.481 and 11.537 Å, with angles of 90.00, 122.64 and 90.00 degrees. Symmetry generates all atoms from Cs at (0.000, 0.000, 0.000), Cs at (0.217, 0.500, 0.628), Tl at (0.022, 0.000, 0.651), Tl at (0.238, 0.500, 0.065) and Hg at (0.006, 0.500, 0.769).